#i
# Nb2VMo6

Crystalline Nb2VMo6 at its relaxed geometry (PBE-GGA, the Alexandria database).

Cell: 2.6827 8.2205 8.1466 Å, 120.30 74.62 90.00°
Closest atoms and distances in Å follow each position.
Element x y z (fractional)
Mo (0.5000, 0.6793, 0.0000)  4 Mo 2.62-2.68, 2 Nb 2.90
Mo (0.5000, 0.3207, 0.0000)  4 Mo 2.62-2.68, 2 Nb 2.90
Mo (0.9821, 0.9953, 0.3290)  5 Mo 2.62-2.78, 1 V 2.69, 2 Nb 2.82-2.86
Mo (0.9821, 0.3336, 0.3290)  5 Mo 2.62-2.78, 1 V 2.69, 2 Nb 2.82-2.86
Mo (0.0179, 0.0047, 0.6710)  5 Mo 2.62-2.78, 1 V 2.69, 2 Nb 2.82-2.86
Mo (0.0179, 0.6664, 0.6710)  5 Mo 2.62-2.78, 1 V 2.69, 2 Nb 2.82-2.86
Nb (0.6492, 0.6671, 0.3342)  2 Nb 2.68, 6 Mo 2.82-2.90
Nb (0.3508, 0.3329, 0.6658)  2 Nb 2.68, 6 Mo 2.82-2.90
V (0.0000, 0.0000, 0.0000)  2 V 2.68, 8 Mo 2.69-2.96

Summary:
symmetry = No. 12

#ii
# Nb2VMo6

Crystalline Nb2VMo6 at its relaxed geometry (PBE-GGA, the Alexandria database).

Cell: 5.0566 5.0565 9.6871 Å, 141.50 97.41 90.00°
Closest atoms and distances in Å follow each position.
Element x y z (fractional)
Mo (0.5001, 0.2605, 0.0005)  2 Mo 2.43-2.63
Mo (0.8490, 0.5429, 0.3619)  1 V 2.46, 1 Nb 2.50, 2 Mo 2.59-2.60
Mo (0.6283, 0.3124, 0.5415)  4 Mo 2.59-2.84
Mo (0.3717, 0.6876, 0.4585)  4 Mo 2.59-2.84
Mo (0.4999, 0.7395, 0.9995)  2 Mo 2.43-2.63
Mo (0.1510, 0.4571, 0.6381)  1 V 2.46, 1 Nb 2.50, 2 Mo 2.59-2.60
Nb (0.9392, 0.1795, 0.7861)  1 Mo 2.50, 1 Nb 2.52
Nb (0.0608, 0.8205, 0.2139)  1 Mo 2.50, 1 Nb 2.52
V (0.0000, 0.0000, 0.0000)  2 Mo 2.46

Summary:
symmetry = No. 12

Which one sits at the bottom of the stability order? #ii does.

#i
# Nb6VMo

Crystalline Nb6VMo at its relaxed geometry (PBE-GGA, the Alexandria database).

Cell: 4.6062 4.6062 7.3154 Å, 71.65 71.65 90.00°
Closest atoms and distances in Å follow each position.
Element x y z (fractional)
V (0.5000, 0.5000, 0.0000)  8 Nb 2.79
Nb (0.2528, 0.2528, 0.4945)  8 Nb 2.84-2.88
Nb (0.6203, 0.1203, 0.7593)  2 Mo 2.79, 2 V 2.79, 4 Nb 2.84-2.88
Nb (0.8797, 0.3797, 0.2407)  2 Mo 2.79, 2 V 2.79, 4 Nb 2.84-2.88
Nb (0.1203, 0.6203, 0.7593)  2 Mo 2.79, 2 V 2.79, 4 Nb 2.84-2.88
Nb (0.7472, 0.7472, 0.5055)  8 Nb 2.84-2.88
Nb (0.3797, 0.8797, 0.2407)  2 Mo 2.79, 2 V 2.79, 4 Nb 2.84-2.88
Mo (0.0000, 0.0000, 0.0000)  8 Nb 2.79

Summary:
symmetry = No. 139

#ii
# Nb6VMo

Crystalline Nb6VMo at its relaxed geometry (PBE-GGA, the Alexandria database).

Cell: 5.7887 5.7887 5.7887 Å, 110.63 110.63 110.63°
Closest atoms and distances in Å follow each position.
Element x y z (fractional)
Nb (0.7475, 0.2504, 0.2504)  6 Nb 2.72-2.91, 1 V 2.77, 1 Mo 2.80
Nb (0.2504, 0.2504, 0.7475)  6 Nb 2.72-2.91, 1 V 2.77, 1 Mo 2.80
Nb (0.7496, 0.7496, 0.2525)  6 Nb 2.72-2.91, 1 V 2.77, 1 Mo 2.80
Nb (0.2504, 0.7475, 0.2504)  6 Nb 2.72-2.91, 1 V 2.77, 1 Mo 2.80
Nb (0.7496, 0.2525, 0.7496)  6 Nb 2.72-2.91, 1 V 2.77, 1 Mo 2.80
Nb (0.2525, 0.7496, 0.7496)  6 Nb 2.72-2.91, 1 V 2.77, 1 Mo 2.80
Mo (0.0000, 0.0000, 0.0000)  2 V 2.72, 6 Nb 2.80
V (0.5000, 0.5000, 0.5000)  2 Mo 2.72, 6 Nb 2.77

Summary:
symmetry = No. 166

Which one sits at the bottom of the stability order? #ii does.

#i
# NbV2Mo3

Crystalline NbV2Mo3 at its relaxed geometry (PBE-GGA, the Alexandria database).

Cell: 4.8551 6.4913 6.4913 Å, 71.67 90.00 90.00°
Closest atoms and distances in Å follow each position.
Element x y z (fractional)
Mo (0.9602, 0.2100, 0.2100)  4 Mo 2.54-2.77, 1 Nb 2.65, 2 V 2.73
Mo (0.5054, 0.4799, 0.1429)  3 Mo 2.54-2.77, 2 V 2.62-2.64
Mo (0.5054, 0.1429, 0.4799)  3 Mo 2.54-2.77, 2 V 2.62-2.64
Mo (0.0054, 0.8571, 0.5201)  3 Mo 2.54-2.77, 2 V 2.62-2.64
Mo (0.0054, 0.5201, 0.8571)  3 Mo 2.54-2.77, 2 V 2.62-2.64
Mo (0.4602, 0.7900, 0.7900)  4 Mo 2.54-2.77, 1 Nb 2.65, 2 V 2.73
V (0.5382, 0.4001, 0.7202)  1 V 2.43, 2 Mo 2.62-2.64, 1 Nb 2.66
V (0.0382, 0.5999, 0.2798)  1 V 2.43, 2 Mo 2.62-2.64, 1 Nb 2.66
V (0.0382, 0.2798, 0.5999)  1 V 2.43, 2 Mo 2.62-2.64, 1 Nb 2.66
V (0.5382, 0.7202, 0.4001)  1 V 2.43, 2 Mo 2.62-2.64, 1 Nb 2.66
Nb (0.9105, 0.9330, 0.9330)  4 Mo 2.65-2.93, 2 V 2.66, 2 Nb 2.81
Nb (0.4105, 0.0670, 0.0670)  4 Mo 2.65-2.93, 2 V 2.66, 2 Nb 2.81

Summary:
symmetry = No. 36

#ii
# NbV2Mo3

Crystalline NbV2Mo3 at its relaxed geometry (PBE-GGA, the Alexandria database).

Cell: 3.1324 3.1324 9.3755 Å, 90.00 90.00 90.00°
Closest atoms and distances in Å follow each position.
Element x y z (fractional)
V (0.5000, 0.5000, 0.8374)  8 Mo 2.68-2.69
V (0.5000, 0.5000, 0.1626)  8 Mo 2.68-2.69
Mo (0.0000, 0.0000, 0.3230)  4 V 2.68, 4 Nb 2.77
Mo (0.0000, 0.0000, 0.0000)  8 V 2.69
Mo (0.0000, 0.0000, 0.6770)  4 V 2.68, 4 Nb 2.77
Nb (0.5000, 0.5000, 0.5000)  8 Mo 2.77

Summary:
symmetry = No. 123

Which one sits at the bottom of the stability order? #i does.

#i
# Nb2V3Mo

Crystalline Nb2V3Mo at its relaxed geometry (PBE-GGA, the Alexandria database).

Cell: 4.5720 5.2730 9.7586 Å, 78.11 62.07 63.92°
Closest atoms and distances in Å follow each position.
Element x y z (fractional)
Nb (0.1661, 0.6680, 0.5000)  4 V 2.70-2.74, 4 Nb 2.77-2.79
Nb (0.8339, 0.3320, 0.5000)  4 V 2.70-2.74, 4 Nb 2.77-2.79
Nb (0.0000, 0.0000, 0.0000)  4 V 2.65, 4 Mo 2.78-2.80
Nb (0.5000, 0.0000, 0.5000)  4 V 2.73, 4 Nb 2.77-2.78
V (0.0737, 0.3397, 0.7559)  1 Mo 2.60, 3 Nb 2.65-2.73, 4 V 2.73-2.80
V (0.9263, 0.6603, 0.2441)  1 Mo 2.60, 3 Nb 2.65-2.73, 4 V 2.73-2.80
V (0.4143, 0.6603, 0.7559)  1 Mo 2.60, 3 Nb 2.65-2.73, 4 V 2.73-2.80
V (0.7402, 0.0000, 0.7597)  2 Mo 2.62, 2 Nb 2.74, 4 V 2.79-2.80
V (0.2598, 0.0000, 0.2403)  2 Mo 2.62, 2 Nb 2.74, 4 V 2.79-2.80
V (0.5857, 0.3397, 0.2441)  1 Mo 2.60, 3 Nb 2.65-2.73, 4 V 2.73-2.80
Mo (0.3312, 0.3372, 0.0000)  4 V 2.60-2.62, 2 Mo 2.75-2.77, 2 Nb 2.78-2.80
Mo (0.6688, 0.6628, 0.0000)  4 V 2.60-2.62, 2 Mo 2.75-2.77, 2 Nb 2.78-2.80

Summary:
symmetry = No. 10

#ii
# Nb2V3Mo

Crystalline Nb2V3Mo at its relaxed geometry (PBE-GGA, the Alexandria database).

Cell: 5.1372 5.1372 5.1023 Å, 90.03 120.21 119.98°
Closest atoms and distances in Å follow each position.
Element x y z (fractional)
Nb (0.2489, 0.6244, 0.8733)  9 V 2.99-3.00, 3 Mo 3.01, 4 Nb 3.10-3.15
Nb (0.7511, 0.3756, 0.1267)  9 V 2.99-3.00, 3 Mo 3.01, 4 Nb 3.10-3.15
V (0.0000, 0.0000, 0.5000)  2 Mo 2.55, 4 V 2.57
V (0.5000, 0.0000, 0.5000)  2 Mo 2.55, 4 V 2.57
V (0.5000, 0.5000, 0.5000)  2 Mo 2.55, 4 V 2.57
Mo (0.0000, 0.0000, 0.0000)  6 V 2.55

Summary:
symmetry = No. 166

Which one sits at the bottom of the stability order? #i does.